Record 1
A relaxed Tb2NdDy5Er crystal, computed with PBE.

extended XYZ file:
```
18
Lattice="-4.467 4.467 7.349 4.467 -4.467 7.349 4.467 4.467 -7.349" Properties=species:S:1:pos:R:3 pbc="T T T"
Tb 5.475 1.007 0.000
Tb 1.007 3.460 0.000
Tb 3.460 1.007 7.349
Tb -1.007 3.460 7.349
Nd 0.000 0.000 3.675
Nd 0.000 0.000 11.024
Dy 0.000 0.000 0.000
Dy 2.629 1.839 -1.951
Dy 2.629 -1.839 5.398
Dy 2.629 1.839 1.951
Dy 2.629 -1.839 9.300
Dy 0.000 0.000 7.349
Dy 1.839 6.306 -1.951
Dy 1.839 2.629 5.398
Dy 1.839 6.306 1.951
Dy 1.839 2.629 9.300
Er 4.467 0.000 3.675
Er 0.000 4.467 3.675
```

Summary:
energy of formation from the pure elements	252	kJ/mol of formula units
calculated total energy	-77.970	eV for the cell shown
crystal system	tetragonal
DOS at the Fermi energy	11.6	states/eV/f.u.

---

Record 2
A relaxed Tb2NdDy3Er6 crystal, computed with PBE.

extended XYZ file:
```
12
Lattice="3.066 -5.305 0.000 3.066 5.305 0.000 -2.035 0.000 11.524" Properties=species:S:1:pos:R:3 pbc="T T T"
Tb 3.066 3.536 0.000
Tb 3.066 -3.536 0.000
Nd 3.066 0.000 0.000
Dy -1.017 0.000 5.762
Dy 2.048 1.771 5.762
Dy 2.048 -1.771 5.762
Er 0.005 1.771 8.624
Er 1.022 0.000 2.899
Er 0.005 -1.771 8.624
Er 4.092 1.771 2.900
Er 3.075 0.000 8.625
Er 4.092 -1.771 2.900
```

Summary:
energy of formation from the pure elements	22	kJ/mol of formula units
calculated total energy	-54.988	eV for the cell shown
crystal system	monoclinic
DOS at the Fermi energy	15.6	states/eV/f.u.

---

Record 3
A relaxed Tb6Nd3DyEr2 crystal, computed with PBE.

extended XYZ file:
```
12
Lattice="3.102 -5.371 0.000 3.102 5.371 0.000 -2.062 0.000 11.678" Properties=species:S:1:pos:R:3 pbc="T T T"
Tb 0.001 1.791 8.810
Tb 1.037 0.000 2.868
Tb 0.001 -1.791 8.810
Tb 4.141 1.791 2.868
Tb 3.104 0.000 8.810
Tb 4.141 -1.791 2.868
Nd -1.031 0.000 5.839
Nd 2.071 1.790 5.839
Nd 2.071 -1.790 5.839
Dy 3.102 0.000 0.000
Er 3.102 3.581 0.000
Er 3.102 -3.581 0.000
```

Summary:
energy of formation from the pure elements	20	kJ/mol of formula units
calculated total energy	-55.605	eV for the cell shown
crystal system	monoclinic
DOS at the Fermi energy	15.7	states/eV/f.u.